A relaxed CsPN2F crystal. Source: the Alexandria database, functional GGA-PBE.

a = 4.442 Å, b = 4.442 Å, c = 4.791 Å
α = 90.00°, β = 90.00°, γ = 90.00°
Sites, in units of the cell vectors:
Cs: 0.000 0.000 0.000
P: 0.500 0.500 0.500
N: 0.000 0.500 0.000
N: 0.500 0.000 0.000
F: 0.000 0.000 0.500

Properties
E	-13.28	eV per cell
size of the total moment	0.00	μB/cell